A plane-wave DFT calculation with PBE-GGA was carried out for crystalline NbTlOs at its relaxed geometry.

Structure (POSCAR):
```
NbTlOs
1.0
0.000 3.158 3.158
3.158 0.000 3.158
3.158 3.158 0.000
Nb Tl Os
1 1 1
direct
0.000 0.000 0.000 Nb
0.250 0.250 0.250 Tl
0.500 0.500 0.500 Os
```

Summary:
**Size of the total moment**: 0.966 Bohr magnetons per cell
**Crystal system**: cubic
**E_tot**: -6.4802 eV/atom